# InNi2Pb

An optimized crystal structure of InNi2Pb (PBE, Alexandria via LeMat-Bulk).

- Energy above the most stable polymorph in this dataset: 0.332 eV per formula unit
- Formation enthalpy at 0 K: 0.14 eV/atom
- Total magnetization: 0.0 μB per formula unit

a = 6.1952 Å, b = 6.1952 Å, c = 6.1952 Å
α = 150.48°, β = 140.76°, γ = 49.86°
Last column: nearest neighbours and their distance in Å.
Element x y z (fractional)
In1 0.2724 0.7724 0.5000  6 Ni 2.62-2.75
Ni1 0.9319 0.9319 0.0000  2 Ni 2.52, 2 In 2.75
Ni2 0.7568 0.2568 0.5000  2 Ni 2.52, 4 In 2.62
Pb1 0.5389 0.5389 0.0000  6 Ni 2.87-2.91, 2 Pb 3.16